# 1
Density functional theory data (GGA-PBE) for a relaxed BaCa2Pt crystal.

a = 6.3959 Å, b = 11.9282 Å, c = 4.2637 Å
α = 90.00°, β = 90.00°, γ = 90.00°
Last column: nearest neighbours and their distance in Å.
Element x y z (fractional)
Ba 0.0000 0.0000 0.0000  2 Pt 3.20
Ba 0.5000 0.5000 0.0000  2 Pt 3.20
Ca 0.0000 0.3423 0.5000  2 Pt 2.84
Ca 0.0000 0.6577 0.5000  2 Pt 2.84
Ca 0.5000 0.1577 0.5000  2 Pt 2.84
Ca 0.5000 0.8423 0.5000  2 Pt 2.84
Pt 0.0000 0.5000 0.0000  4 Ca 2.84
Pt 0.5000 0.0000 0.0000  4 Ca 2.84

Output
Space-group type: Cmmm
Calculated formation energy: -477 meV/atom
Density: 4.21 Mg/m³
E above lowest polymorph: 0.0861 eV/atom


# 2
Density functional theory data (GGA-PBE) for a relaxed CrCdCl6 crystal.

a = 6.5697 Å, b = 11.3594 Å, c = 6.4541 Å
α = 90.00°, β = 90.95°, γ = 90.00°
Last column: nearest neighbours and their distance in Å.
Element x y z (fractional)
Cr 0.0000 0.0000 0.0000  6 Cl 2.32
Cr 0.5000 0.5000 0.0000  6 Cl 2.32
Cd 0.0000 0.0000 0.5000  6 Cl 2.65-2.66
Cd 0.5000 0.5000 0.5000  6 Cl 2.65-2.66
Cl 0.1437 0.1432 0.2119  1 Cr 2.32
Cl 0.1437 0.8568 0.2119  1 Cr 2.32
Cl 0.2143 0.5000 0.2057  1 Cr 2.32
Cl 0.2857 0.0000 0.7943  1 Cr 2.32
Cl 0.3563 0.3568 0.7881  1 Cr 2.32
Cl 0.3563 0.6432 0.7881  1 Cr 2.32
Cl 0.6437 0.3568 0.2119  1 Cr 2.32
Cl 0.6437 0.6432 0.2119  1 Cr 2.32
Cl 0.7143 0.0000 0.2057  1 Cr 2.32
Cl 0.7857 0.5000 0.7943  1 Cr 2.32
Cl 0.8563 0.1432 0.7881  1 Cr 2.32
Cl 0.8563 0.8568 0.7881  1 Cr 2.32

Output
Space-group type: C2/m
Density: 2.60 Mg/m³
E_form (uncorrected): -0.8829 eV per atom
E above lowest polymorph: 0.0000 eV/atom


# 3
Density functional theory data (GGA-PBE) for a relaxed SmYGe2Pd5 crystal.

a = 4.2544 Å, b = 4.2544 Å, c = 9.1430 Å
α = 90.00°, β = 90.00°, γ = 90.00°
Last column: nearest neighbours and their distance in Å.
Element x y z (fractional)
Sm 0.0000 0.0000 0.0000  12 Pd 2.97-3.01
Y 0.0000 0.0000 0.5000  8 Ge 3.25, 8 Pd 3.28
Ge 0.5000 0.5000 0.3659  1 Ge 2.45, 4 Pd 2.48
Ge 0.5000 0.5000 0.6341  1 Ge 2.45, 4 Pd 2.48
Pd 0.0000 0.5000 0.2269  2 Ge 2.48
Pd 0.0000 0.5000 0.7731  2 Ge 2.48
Pd 0.5000 0.0000 0.2269  2 Ge 2.48
Pd 0.5000 0.0000 0.7731  2 Ge 2.48
Pd 0.5000 0.5000 0.0000  8 Pd 2.97, 4 Sm 3.01

Output
Space-group type: P4/mmm
Calculated formation energy: -820 meV/atom
Density: 9.20 Mg/m³


# 4
Density functional theory data (GGA-PBE) for a relaxed Ac4TePS2 crystal.

a = 7.6510 Å, b = 4.4199 Å, c = 7.8287 Å
α = 90.00°, β = 109.08°, γ = 90.00°
Last column: nearest neighbours and their distance in Å.
Element x y z (fractional)
Ac 0.2314 0.0000 0.2234  3 S 3.01-3.21, 1 P 3.10, 2 Te 3.30
Ac 0.2460 0.5000 0.7670  3 S 3.02-3.20, 2 P 3.11, 1 Te 3.29
Ac 0.7540 0.5000 0.2330  3 S 3.02-3.20, 2 P 3.11, 1 Te 3.29
Ac 0.7686 0.0000 0.7766  3 S 3.01-3.21, 1 P 3.10, 2 Te 3.30
Te 0.5000 0.5000 0.5000  6 Ac 3.29-3.30
P 0.5000 0.0000 0.0000  6 Ac 3.10-3.11
S 0.0000 0.0000 0.5000  6 Ac 3.20-3.21
S 0.0000 0.5000 0.0000  6 Ac 3.01-3.02

Output
Space-group type: P2/m
Density: 7.50 Mg/m³
E_form (uncorrected): -1.7516 eV per atom


# 5
Density functional theory data (GGA-PBE) for a relaxed ReP4 crystal.

a = 5.6130 Å, b = 5.6130 Å, c = 5.6130 Å
α = 90.00°, β = 90.00°, γ = 90.00°
Last column: nearest neighbours and their distance in Å.
Element x y z (fractional)
Re 0.0000 0.0000 0.0000  8 P 2.43
Re 0.5000 0.5000 0.5000  8 P 2.43
P 0.2500 0.2500 0.2500  2 Re 2.43
P 0.2500 0.2500 0.7500  2 Re 2.43
P 0.2500 0.7500 0.2500  2 Re 2.43
P 0.2500 0.7500 0.7500  2 Re 2.43
P 0.7500 0.2500 0.2500  2 Re 2.43
P 0.7500 0.2500 0.7500  2 Re 2.43
P 0.7500 0.7500 0.2500  2 Re 2.43
P 0.7500 0.7500 0.7500  2 Re 2.43

Output
Space-group type: Im-3m
Calculated formation energy: 722 meV/atom
Density: 5.82 Mg/m³
E above lowest polymorph: 1.0437 eV/atom


# 6
Density functional theory data (GGA-PBE) for a relaxed Ce2UH crystal.

a = 3.0415 Å, b = 3.0415 Å, c = 27.2091 Å
α = 90.00°, β = 90.00°, γ = 120.00°
Last column: nearest neighbours and their distance in Å.
Element x y z (fractional)
Ce 0.0000 0.0000 0.1055  3 H 2.42
Ce 0.0000 0.0000 0.8945  3 H 2.42
Ce 0.3333 0.6667 0.5611  3 H 2.42
Ce 0.3333 0.6667 0.7722  3 H 2.42
Ce 0.6667 0.3333 0.2278  3 H 2.42
Ce 0.6667 0.3333 0.4389  3 H 2.42
U 0.0000 0.0000 0.0000  2 Ce 2.87, 6 U 3.04
U 0.3333 0.6667 0.6667  2 Ce 2.87, 6 U 3.04
U 0.6667 0.3333 0.3333  2 Ce 2.87, 6 U 3.04
H 0.0000 0.0000 0.5000  6 Ce 2.42
H 0.3333 0.6667 0.1667  6 Ce 2.42
H 0.6667 0.3333 0.8333  6 Ce 2.42

Output
Space-group type: R-3m
Density: 11.87 Mg/m³
E_tot: -6.570 eV per atom


# 7
Density functional theory data (GGA-PBE) for a relaxed BaNaCa2B crystal.

a = 5.8925 Å, b = 5.8925 Å, c = 4.9814 Å
α = 90.00°, β = 90.00°, γ = 90.00°
Last column: nearest neighbours and their distance in Å.
Element x y z (fractional)
Ba 0.0000 0.0000 0.0000  8 Ca 3.86, 4 B 4.17
Na 0.5000 0.5000 0.5000  2 B 2.49
Ca 0.0000 0.5000 0.5000  2 Na 2.95
Ca 0.5000 0.0000 0.5000  2 Na 2.95
B 0.5000 0.5000 0.0000  2 Na 2.49

Output
Space-group type: P4/mmm
Calculated formation energy: 921 meV/atom
Density: 2.41 Mg/m³


# 8
Density functional theory data (GGA-PBE) for a relaxed Cs2Ba2NpO6 crystal.

a = 6.5827 Å, b = 6.5827 Å, c = 7.2596 Å
α = 97.77°, β = 97.77°, γ = 118.47°
Last column: nearest neighbours and their distance in Å.
Element x y z (fractional)
Cs 0.1649 0.8351 0.0000  4 O 3.04-3.05
Cs 0.8351 0.1649 0.0000  4 O 3.04-3.05
Ba 0.3372 0.6628 0.5000  6 O 2.69-2.76
Ba 0.6628 0.3372 0.5000  6 O 2.69-2.76
Np 0.0000 0.0000 0.5000  6 O 2.10
O 0.0420 0.3147 0.6597  1 Np 2.10
O 0.2052 0.2052 0.3267  1 Np 2.10
O 0.3147 0.0420 0.6597  1 Np 2.10
O 0.6853 0.9580 0.3403  1 Np 2.10
O 0.7948 0.7948 0.6733  1 Np 2.10
O 0.9580 0.6853 0.3403  1 Np 2.10

Output
Space-group type: C2/m
Density: 5.44 Mg/m³
E_form (uncorrected): -2.4832 eV per atom